Record 1
## K2CuReSn (meta-GGA SCAN)

Data for a PBEsol-optimized structure of K2CuReSn. Values from VASP.

Structure (Quantum ESPRESSO input):
```
&SYSTEM
  ibrav = 0, nat = 5, ntyp = 4
/
ATOMIC_SPECIES
K 39.10 K.upf
Cu 63.55 Cu.upf
Re 186.21 Re.upf
Sn 118.71 Sn.upf
ATOMIC_POSITIONS crystal
K 0.000 0.500 0.000
K 0.500 0.000 0.000
Cu 0.000 0.000 0.500
Re 0.500 0.500 0.500
Sn 0.500 0.500 0.000
CELL_PARAMETERS angstrom
6.490 0.000 0.000
0.000 6.490 0.000
0.000 0.000 5.069
```

Output
Formation energy from the elements, meV per atom: 1364
Crystal system: tetragonal
Density, g/cm³: 3.474

Record 2
## MgMoAs (meta-GGA SCAN)

Data for a PBEsol-optimized structure of MgMoAs. Values from VASP.

Structure (Quantum ESPRESSO input):
```
&SYSTEM
  ibrav = 0, nat = 3, ntyp = 3
/
ATOMIC_SPECIES
Mg 24.30 Mg.upf
Mo 95.94 Mo.upf
As 74.92 As.upf
ATOMIC_POSITIONS crystal
Mg 0.000 0.000 0.000
Mo 0.333 0.667 0.500
As 0.667 0.333 0.500
CELL_PARAMETERS angstrom
4.483 0.000 0.000
-2.242 3.883 0.000
0.000 0.000 2.818
```

Output
Formation energy from the elements, meV per atom: 127
Crystal system: hexagonal
Density, g/cm³: 6.606

Record 3
## K2ErPCO7 (meta-GGA SCAN)

Data for a PBEsol-optimized structure of K2ErPCO7. Values from VASP.

Structure (Quantum ESPRESSO input):
```
&SYSTEM
  ibrav = 0, nat = 24, ntyp = 5
/
ATOMIC_SPECIES
K 39.10 K.upf
Er 167.26 Er.upf
P 30.97 P.upf
C 12.01 C.upf
O 16.00 O.upf
ATOMIC_POSITIONS crystal
K 0.246 0.017 0.282
K 0.246 0.483 0.282
K 0.754 0.517 0.718
K 0.754 0.983 0.718
Er 0.293 0.250 0.876
Er 0.707 0.750 0.124
P 0.214 0.750 0.934
P 0.786 0.250 0.066
C 0.239 0.250 0.605
C 0.761 0.750 0.395
O 0.061 0.250 0.053
O 0.063 0.250 0.692
O 0.205 0.250 0.480
O 0.293 0.568 0.859
O 0.293 0.932 0.859
O 0.327 0.750 0.078
O 0.448 0.250 0.662
O 0.552 0.750 0.338
O 0.673 0.250 0.922
O 0.707 0.068 0.141
O 0.707 0.432 0.141
O 0.795 0.750 0.520
O 0.937 0.750 0.308
O 0.939 0.750 0.947
CELL_PARAMETERS angstrom
5.667 0.000 0.000
0.000 7.010 0.000
-0.058 0.000 9.918
```

Output
Formation energy (no corrections), eV per atom: -2.608
Crystal system: monoclinic
Density, g/cm³: 3.375

no.,total energy (eV/cell)
1,-132.05
2,-59.67
3,-324.82